No. 1
BMoPb | PBE-GGA | relaxed

Computed properties:
total DFT energy (no corrections) = -41.0 eV per cell
E_form = 0.25 eV/atom
energy above the most stable polymorph in this dataset = 312 meV/atom
spin magnetization = 0.00 μB per formula unit

Lattice parameters (Å, degrees): 3.0854 5.9408 5.9951 75.58 84.55 87.43
Last column: nearest neighbours and their distance in Å.
Space group P-1 (No. 2)
One atom of each set of equivalent atoms:
B1 0.2493 0.0558 0.4801 [2 per cell]  2 B 1.67-1.68
Mo1 0.2705 0.6643 0.5868 [2 per cell]  3 B 2.21-2.25
Pb1 0.2550 0.7256 0.0748 [2 per cell]  4 Mo 3.00-3.09, 3 Pb 3.09-3.29


No. 2
BMoPb3 | PBE-GGA | relaxed

Computed properties:
total DFT energy (no corrections) = -21.6 eV per cell
E_form = 1.41 eV/atom
energy above the most stable polymorph in this dataset = 112 meV/atom
spin magnetization = 0.87 μB per formula unit

Lattice parameters (Å, degrees): 5.3935 5.3935 5.3935 90.00 90.00 90.00
Last column: nearest neighbours and their distance in Å.
Space group Pm-3m (No. 221)
One atom of each set of equivalent atoms:
B1 0.0000 0.0000 0.0000 [1 per cell]  12 Pb 3.81
Mo1 0.5000 0.5000 0.5000 [1 per cell]  6 Pb 2.70
Pb1 0.0000 0.5000 0.5000 [3 per cell]  2 Mo 2.70


No. 3
BMoPb | PBE-GGA | relaxed

Computed properties:
total DFT energy (no corrections) = -41.3 eV per cell
E_form = 0.18 eV/atom
energy above the most stable polymorph in this dataset = 246 meV/atom
spin magnetization = 0.00 μB per formula unit

Lattice parameters (Å, degrees): 3.1749 4.0047 9.4672 88.07 89.98 67.24
Last column: nearest neighbours and their distance in Å.
Space group P1 (No. 1)
One atom of each set of equivalent atoms:
B1 0.0000 0.0000 0.0000 [1 per cell]  1 B 1.69
B2 0.1630 0.6729 0.1292 [1 per cell]  1 B 1.69
Mo1 0.4475 0.1065 0.1677 [1 per cell]  5 B 2.11-2.30
Mo2 0.7147 0.5683 0.9609 [1 per cell]  5 B 2.12-2.30
Pb1 0.1169 0.7641 0.4166 [1 per cell]  1 B 2.75, 2 Mo 3.07-3.08
Pb2 0.3769 0.2290 0.7226 [1 per cell]  3 Mo 3.06-3.26, 2 B 3.14-3.18, 2 Pb 3.17


No. 4
BMoPb | PBE-GGA | relaxed

Computed properties:
total DFT energy (no corrections) = -40.4 eV per cell
E_form = 0.34 eV/atom
energy above the most stable polymorph in this dataset = 406 meV/atom
spin magnetization = 0.00 μB per formula unit

Lattice parameters (Å, degrees): 5.6018 3.1274 6.0034 90.00 99.49 90.00
Last column: nearest neighbours and their distance in Å.
Space group Pm (No. 6)
One atom of each set of equivalent atoms:
B1 0.0000 0.0000 0.0000 [1 per cell]  2 B 1.70
B2 0.0035 0.5000 0.8881 [1 per cell]  2 B 1.70
Mo1 0.1213 0.0000 0.6556 [1 per cell]  3 B 2.27-2.28
Mo2 0.9265 0.5000 0.2505 [1 per cell]  3 B 2.25-2.29
Pb1 0.4865 0.5000 0.9463 [1 per cell]  2 B 2.67-2.97, 3 Mo 2.82-2.92
Pb2 0.5749 0.0000 0.4645 [1 per cell]  4 Mo 2.96-3.09, 2 Pb 3.13


No. 5
RbB2MoPb | PBE-GGA | relaxed

Computed properties:
total DFT energy (no corrections) = -24.1 eV per cell
E_form = 0.96 eV/atom
energy above the most stable polymorph in this dataset = 0 meV/atom
spin magnetization = 0.00 μB per formula unit

Lattice parameters (Å, degrees): 4.5168 4.5168 5.2892 90.00 90.00 90.00
Last column: nearest neighbours and their distance in Å.
Space group P4/mmm (No. 123)
One atom of each set of equivalent atoms:
Rb1 0.0000 0.0000 0.0000 [1 per cell]  4 Pb 3.19, 8 B 3.48
B1 0.0000 0.5000 0.5000 [2 per cell]  2 Mo 2.26
Mo1 0.5000 0.5000 0.5000 [1 per cell]  4 B 2.26
Pb1 0.5000 0.5000 0.0000 [1 per cell]  2 Mo 2.64


No. 6
RbB2MoPb | PBE-GGA | relaxed

Computed properties:
total DFT energy (no corrections) = -17.6 eV per cell
E_form = 2.26 eV/atom
energy above the most stable polymorph in this dataset = 1307 meV/atom
spin magnetization = 3.33 μB per formula unit

Lattice parameters (Å, degrees): 4.9699 4.9699 5.5707 90.00 90.00 90.00
Last column: nearest neighbours and their distance in Å.
Space group P4/mmm (No. 123)
One atom of each set of equivalent atoms:
Rb1 0.0000 0.0000 0.0000 [1 per cell]  4 Mo 3.51, 8 B 3.73
B1 0.0000 0.5000 0.5000 [2 per cell]  2 Pb 2.48
Mo1 0.5000 0.5000 0.0000 [1 per cell]  2 Pb 2.79
Pb1 0.5000 0.5000 0.5000 [1 per cell]  4 B 2.48


No. 7
Sc2BMoPb | PBE-GGA | relaxed

Computed properties:
total DFT energy (no corrections) = -35.1 eV per cell
E_form = -0.25 eV/atom
spin magnetization = 0.00 μB per formula unit

Lattice parameters (Å, degrees): 4.6681 4.6681 4.2663 90.00 90.00 90.00
Last column: nearest neighbours and their distance in Å.
Space group P4/mmm (No. 123)
One atom of each set of equivalent atoms:
Sc1 0.0000 0.5000 0.0000 [2 per cell]  2 B 2.33
B1 0.0000 0.0000 0.0000 [1 per cell]  2 Mo 2.13, 4 Sc 2.33
Mo1 0.0000 0.0000 0.5000 [1 per cell]  2 B 2.13
Pb1 0.5000 0.5000 0.5000 [1 per cell]  8 Sc 3.16, 4 Mo 3.30


No. 8
BMoPbW2 | PBE-GGA | relaxed

Computed properties:
total DFT energy (no corrections) = -31.2 eV per cell
E_form = 3.18 eV/atom
spin magnetization = 0.79 μB per formula unit

Lattice parameters (Å, degrees): 5.1572 5.1572 3.9458 90.00 90.00 90.00
Last column: nearest neighbours and their distance in Å.
Space group P4/mmm (No. 123)
One atom of each set of equivalent atoms:
B1 0.0000 0.0000 0.0000 [1 per cell]  2 Pb 1.97
Mo1 0.5000 0.5000 0.0000 [1 per cell]  8 W 3.25
Pb1 0.0000 0.0000 0.5000 [1 per cell]  2 B 1.97
W1 0.0000 0.5000 0.5000 [2 per cell]  2 Pb 2.58